A plane-wave DFT calculation with PBE was carried out for a relaxed structure of TaSiRh2.

abc: 2.910 3.880 5.312
angles: 90.00 90.00 90.00
Space group Pmm2 (No. 25)
Inequivalent atoms, fractional coordinates:
Ta1 0.000 0.000 0.000 x1
Si1 0.500 0.500 0.686 x1
Rh1 0.000 0.000 0.527 x1
Rh2 0.500 0.500 0.209 x1

Values from the calculation:
density of states at the Fermi level	3.0	states/eV/cell
formation energy (no corrections)	-0.493	eV per atom
M_tot	0.0000	μB/atom
mass density	11.49	g/cm3